(1)
The following is a GGA-PBE calculation of TaTl2Rh after structural relaxation, from Alexandria.

The structure in POSCAR format:
```
TaTl2Rh
1.0
3.0712 0.0000 0.0000
0.0000 4.6473 0.0000
-0.5817 0.0000 5.5661
Ta Tl Rh
1 2 1
Direct
0.0000 0.0000 0.0000
0.3033 0.5000 0.7441
0.6967 0.5000 0.2559
0.5000 0.0000 0.5000
```

Output
formation enthalpy at 0 K: 462 meV/atom
offset from the most stable computed form: 365 meV/atom
size of the total moment: 0.0 μB/cell
density: 14.48 g/cm³


(2)
The following is a GGA-PBE calculation of CsAcAs2 after structural relaxation, from Alexandria.

The structure in POSCAR format:
```
CsAcAs2
1.0
4.2741 0.0000 0.0000
0.0000 4.2741 0.0000
0.0000 0.0000 7.6499
Cs Ac As
1 1 2
Direct
0.0000 0.0000 0.0000
0.0000 0.0000 0.5000
0.5000 0.5000 0.3327
0.5000 0.5000 0.6673
```

Output
formation enthalpy at 0 K: -851 meV/atom
offset from the most stable computed form: 0 meV/atom
size of the total moment: 0.0 μB/cell
density: 6.06 g/cm³


(3)
The following is a GGA-PBE calculation of Pm5Dy2HoSc after structural relaxation, from Alexandria.

The structure in POSCAR format:
```
Pm5Dy2HoSc
1.0
2.6743 -10.9208 0.0000
2.6743 10.9208 0.0000
0.0000 0.0000 10.1809
Pm Dy Ho Sc
10 4 2 2
Direct
0.0000 0.0000 0.0000
0.0000 0.0000 0.5000
0.1265 0.8735 0.7502
0.2214 0.7786 0.0627
0.2209 0.7791 0.4385
0.4992 0.5008 0.2501
0.5008 0.4992 0.7501
0.7786 0.2214 0.5627
0.7791 0.2209 0.9385
0.8735 0.1265 0.2502
0.3840 0.6160 0.5011
0.3844 0.6156 0.9991
0.6160 0.3840 0.0011
0.6156 0.3844 0.4991
0.1014 0.8986 0.2500
0.8986 0.1014 0.7500
0.2861 0.7139 0.7506
0.7139 0.2861 0.2506
```

Output
formation enthalpy at 0 K: 126 meV/atom
size of the total moment: 0.0 μB/cell
density: 7.04 g/cm³


(4)
The following is a GGA-PBE calculation of CuSi2Hg after structural relaxation, from Alexandria.

The structure in POSCAR format:
```
CuSi2Hg
1.0
2.8151 0.0000 0.0000
0.0000 3.4370 0.0000
-1.3262 0.0000 6.9538
Cu Si Hg
1 2 1
Direct
0.0000 0.0000 0.0000
0.4097 0.5000 0.8160
0.8163 0.0000 0.6251
0.6429 0.5000 0.2825
```

Output
formation energy from raw total energies: 312.8 meV per atom
size of the total moment: 0.0 μB/cell
density: 7.91 g/cm³